Record 1
The following is a DFT calculation (PBE) of a relaxed structure of LiCrSe2.

Properties
SG = Imm2
total magnetic moment = 3.02 μB per formula unit
formation energy (no corrections) = -0.60 eV/atom
electronic total energy = -5.225 eV per atom

a b c (Å): 3.357 3.515 12.680
angles (deg): 90.00 90.00 90.00
Atoms (fractional coordinates):
Li  0.000  0.000  0.000
Li  0.500  0.500  0.500
Cr  0.000  0.500  0.233
Cr  0.500  0.000  0.733
Se  0.000  0.000  0.586
Se  0.000  0.500  0.820
Se  0.500  0.000  0.320
Se  0.500  0.500  0.086

Record 2
The following is a DFT calculation (PBE) of a relaxed structure of NbAs3H.

Properties
SG = Pm-3m
total magnetic moment = 0.67 μB per formula unit
polymorph energy (0 for the lowest one) = 0.164 eV/atom
electronic total energy = -4.786 eV per atom

a b c (Å): 5.005 5.005 5.005
angles (deg): 90.00 90.00 90.00
Atoms (fractional coordinates):
Nb  0.000  0.000  0.000
As  0.000  0.000  0.500
As  0.000  0.500  0.000
As  0.500  0.000  0.000
H  0.500  0.500  0.500

Record 3
The following is a DFT calculation (PBE) of a relaxed structure of SrMo2Os.

Properties
SG = Pm
E_form = 0.6956 eV/atom
total magnetic moment = 0.00 μB per formula unit
polymorph energy (0 for the lowest one) = 0.072 eV/atom
electronic total energy = -7.948 eV per atom

a b c (Å): 2.931 4.189 6.890
angles (deg): 90.00 101.59 90.00
Atoms (fractional coordinates):
Sr  0.000  0.000  0.000
Mo  0.598  0.500  0.339
Mo  0.975  0.000  0.519
Os  0.416  0.500  0.681

Record 4
The following is a DFT calculation (PBE) of a relaxed structure of Nd7SnS5.

Properties
SG = Cmcm
total magnetic moment = 0.00 μB per formula unit
formation energy (no corrections) = -1.69 eV/atom
electronic total energy = -6.156 eV per atom

a b c (Å): 7.015 7.015 24.330
angles (deg): 90.00 90.00 145.51
Atoms (fractional coordinates):
Nd  0.025  0.975  0.750
Nd  0.136  0.864  0.036
Nd  0.136  0.864  0.464
Nd  0.324  0.676  0.673
Nd  0.324  0.676  0.827
Nd  0.407  0.593  0.110
Nd  0.407  0.593  0.390
Nd  0.593  0.407  0.610
Nd  0.593  0.407  0.890
Nd  0.676  0.324  0.173
Nd  0.676  0.324  0.327
Nd  0.864  0.136  0.536
Nd  0.864  0.136  0.964
Nd  0.975  0.025  0.250
Sn  0.299  0.701  0.250
Sn  0.701  0.299  0.750
S  0.043  0.957  0.141
S  0.043  0.957  0.359
S  0.228  0.772  0.570
S  0.228  0.772  0.930
S  0.500  0.500  0.000
S  0.500  0.500  0.500
S  0.772  0.228  0.070
S  0.772  0.228  0.430
S  0.957  0.043  0.641
S  0.957  0.043  0.859

Record 5
The following is a DFT calculation (PBE) of a relaxed structure of Li2PdAu.

Properties
SG = Fm-3m
E_form = -0.4991 eV/atom
total magnetic moment = 0.00 μB per formula unit
polymorph energy (0 for the lowest one) = 0.014 eV/atom
electronic total energy = -3.574 eV per atom

a b c (Å): 6.083 6.083 6.083
angles (deg): 90.00 90.00 90.00
Atoms (fractional coordinates):
Li  0.250  0.250  0.250
Li  0.250  0.250  0.750
Li  0.250  0.750  0.250
Li  0.250  0.750  0.750
Li  0.750  0.250  0.250
Li  0.750  0.250  0.750
Li  0.750  0.750  0.250
Li  0.750  0.750  0.750
Pd  0.000  0.000  0.000
Pd  0.000  0.500  0.500
Pd  0.500  0.000  0.500
Pd  0.500  0.500  0.000
Au  0.000  0.000  0.500
Au  0.000  0.500  0.000
Au  0.500  0.000  0.000
Au  0.500  0.500  0.500

Record 6
The following is a DFT calculation (PBE) of a relaxed structure of Ba3Sn2Hg4Bi2.

Properties
SG = I4/mmm
E_form = -0.4036 eV/atom
total magnetic moment = 0.00 μB per formula unit
electronic total energy = -2.471 eV per atom

a b c (Å): 15.573 15.573 15.573
angles (deg): 161.56 161.56 26.19
Atoms (fractional coordinates):
Ba  0.000  0.000  0.000
Ba  0.196  0.196  0.000
Ba  0.804  0.804  0.000
Sn  0.453  0.453  0.000
Sn  0.547  0.547  0.000
Hg  0.105  0.605  0.500
Hg  0.395  0.895  0.500
Hg  0.605  0.105  0.500
Hg  0.895  0.395  0.500
Bi  0.318  0.318  0.000
Bi  0.682  0.682  0.000

Record 7
The following is a DFT calculation (PBE) of a relaxed structure of Cs2InPtI6.

Properties
SG = I4/mmm
total magnetic moment = 0.00 μB per formula unit
formation energy (no corrections) = -0.78 eV/atom
electronic total energy = -2.758 eV per atom

a b c (Å): 8.406 8.406 8.406
angles (deg): 120.03 120.03 89.95
Atoms (fractional coordinates):
Cs  0.250  0.750  0.500
Cs  0.750  0.250  0.500
In  0.000  0.000  0.000
Pt  0.500  0.500  0.000
I  0.263  0.263  0.000
I  0.266  0.266  0.532
I  0.266  0.734  0.000
I  0.734  0.266  0.000
I  0.734  0.734  0.468
I  0.737  0.737  0.000

Record 8
The following is a DFT calculation (PBE) of a relaxed structure of TlCuHgS2.

Properties
SG = P2/c
total magnetic moment = 0.00 μB per formula unit
formation energy (no corrections) = -0.19 eV/atom
electronic total energy = -3.194 eV per atom

a b c (Å): 6.895 5.224 7.459
angles (deg): 90.00 103.14 90.00
Atoms (fractional coordinates):
Tl  0.000  0.170  0.250
Tl  0.000  0.830  0.750
Cu  0.500  0.000  0.000
Cu  0.500  0.000  0.500
Hg  0.500  0.452  0.750
Hg  0.500  0.548  0.250
S  0.270  0.285  0.962
S  0.270  0.715  0.462
S  0.730  0.285  0.538
S  0.730  0.715  0.038

Record 9
The following is a DFT calculation (PBE) of a relaxed structure of Ba3Hg2Ge.

Properties
SG = Cmmm
E_form = -0.5098 eV/atom
total magnetic moment = 0.00 μB per formula unit
electronic total energy = -2.341 eV per atom

a b c (Å): 9.339 9.339 8.305
angles (deg): 90.00 90.00 143.39
Atoms (fractional coordinates):
Ba  0.000  0.000  0.242
Ba  0.000  0.000  0.758
Ba  0.328  0.672  0.231
Ba  0.328  0.672  0.769
Ba  0.672  0.328  0.231
Ba  0.672  0.328  0.769
Hg  0.165  0.835  0.500
Hg  0.500  0.500  0.000
Hg  0.500  0.500  0.500
Hg  0.835  0.165  0.500
Ge  0.158  0.842  0.000
Ge  0.842  0.158  0.000

Record 10
The following is a DFT calculation (PBE) of a relaxed structure of NaAc2Ag2.

Properties
SG = P4/mbm
E_form = -0.1732 eV/atom
total magnetic moment = 0.00 μB per formula unit
electronic total energy = -3.221 eV per atom

a b c (Å): 8.641 8.641 4.331
angles (deg): 90.00 90.00 90.00
Atoms (fractional coordinates):
Na  0.000  0.000  0.000
Na  0.500  0.500  0.000
Ac  0.167  0.333  0.500
Ac  0.333  0.833  0.500
Ac  0.667  0.167  0.500
Ac  0.833  0.667  0.500
Ag  0.126  0.626  0.000
Ag  0.374  0.126  0.000
Ag  0.626  0.874  0.000
Ag  0.874  0.374  0.000

Repeat the eighth record exactly.
The following is a DFT calculation (PBE) of a relaxed structure of TlCuHgS2.

Properties
SG = P2/c
total magnetic moment = 0.00 μB per formula unit
formation energy (no corrections) = -0.19 eV/atom
electronic total energy = -3.194 eV per atom

a b c (Å): 6.895 5.224 7.459
angles (deg): 90.00 103.14 90.00
Atoms (fractional coordinates):
Tl  0.000  0.170  0.250
Tl  0.000  0.830  0.750
Cu  0.500  0.000  0.000
Cu  0.500  0.000  0.500
Hg  0.500  0.452  0.750
Hg  0.500  0.548  0.250
S  0.270  0.285  0.962
S  0.270  0.715  0.462
S  0.730  0.285  0.538
S  0.730  0.715  0.038

Question: The highest electronic total energy belongs to which entry?
Answer: Ba3Hg2Ge